# 1
The following is a PBE-GGA calculation of TlCdB after structural relaxation, from the Alexandria database.

abc: 3.2044 3.9467 10.2266
angles: 100.72 90.16 90.01
With the nearest neighbours (Å) after each atom.
Space group P1 (No. 1)
One atom of each set of equivalent atoms:
Tl 0.0000 0.0000 0.0000 [1 per cell]  4 B 2.94-2.97, 2 Tl 3.20
Tl 0.4993 0.3657 0.7373 [1 per cell]  2 Tl 3.20, 4 Cd 3.28-3.30
Cd 0.4963 0.1722 0.3503 [1 per cell]  4 B 2.58-2.59
Cd 0.9978 0.7618 0.5290 [1 per cell]  6 Cd 3.10-3.20, 4 Tl 3.28-3.30, 2 B 3.36-3.37
B 0.2420 0.6006 0.2040 [1 per cell]  2 B 1.59-1.61
B 0.7397 0.6006 0.2040 [1 per cell]  2 B 1.59-1.61

Its crystal system is triclinic.



# 2
The following is a PBE-GGA calculation of TlCdB after structural relaxation, from the Alexandria database.

abc: 13.2893 3.1845 6.3633
angles: 90.00 90.00 90.00
With the nearest neighbours (Å) after each atom.
Space group Pnma (No. 62)
One atom of each set of equivalent atoms:
Tl 0.1019 0.2500 0.1230 [4 per cell]  2 B 2.87, 1 Cd 3.05, 2 Tl 3.18
Cd 0.1692 0.7500 0.6643 [4 per cell]  2 B 2.60
B 0.0000 0.0000 0.5000 [4 per cell]  2 B 1.59

Its crystal system is orthorhombic.



# 3
The following is a PBE-GGA calculation of TlCdB after structural relaxation, from the Alexandria database.

abc: 3.1844 4.0913 10.3592
angles: 89.92 83.59 90.00
With the nearest neighbours (Å) after each atom.
Space group P1 (No. 1)
One atom of each set of equivalent atoms:
Tl 0.0000 0.0000 0.0000 [1 per cell]  2 B 2.68-2.87
Tl 0.4185 0.4988 0.2417 [1 per cell]  2 Tl 3.18, 4 Cd 3.32-3.34
Cd 0.2645 0.4976 0.6249 [1 per cell]  4 B 2.52
Cd 0.8375 0.9981 0.4454 [1 per cell]  2 B 3.16-3.21, 6 Cd 3.17-3.20, 4 Tl 3.32-3.34
B 0.4614 0.9971 0.7461 [1 per cell]  2 B 1.58-1.60
B 0.9656 0.9971 0.7432 [1 per cell]  2 B 1.58-1.60

Its crystal system is triclinic.



# 4
The following is a PBE-GGA calculation of TlCdB after structural relaxation, from the Alexandria database.

abc: 4.0800 5.8564 6.5182
angles: 68.18 71.97 89.60
With the nearest neighbours (Å) after each atom.
Space group P1 (No. 1)
One atom of each set of equivalent atoms:
Tl 0.0000 0.0000 0.0000 [1 per cell]  2 B 2.69-2.71
Tl 0.2824 0.9628 0.4340 [1 per cell]  4 B 2.66-2.76
Cd 0.4520 0.5112 0.1347 [1 per cell]  1 B 2.41
Cd 0.6979 0.4324 0.5920 [1 per cell]  2 B 2.25-2.26
B 0.6426 0.7476 0.7175 [1 per cell]  1 B 1.56
B 0.6482 0.0178 0.7088 [1 per cell]  1 B 1.56

Its crystal system is triclinic.



# 5
The following is a PBE-GGA calculation of TlCdB after structural relaxation, from the Alexandria database.

abc: 4.2673 4.2673 8.6600
angles: 90.00 90.00 120.00
With the nearest neighbours (Å) after each atom.
Space group P6_3/mmc (No. 194)
One atom of each set of equivalent atoms:
Tl 0.0000 0.0000 0.0000 [2 per cell]  2 B 2.16
Cd 0.3333 0.6667 0.2500 [2 per cell]  3 B 2.46
B 0.0000 0.0000 0.2500 [2 per cell]  2 Tl 2.16

Its crystal system is hexagonal.



# 6
The following is a PBE-GGA calculation of Tl3CdB after structural relaxation, from the Alexandria database.

abc: 5.0477 5.0477 5.0477
angles: 90.00 90.00 90.00
With the nearest neighbours (Å) after each atom.
Space group Pm-3m (No. 221)
One atom of each set of equivalent atoms:
Tl 0.0000 0.0000 0.5000 [3 per cell]  2 B 2.52
Cd 0.5000 0.5000 0.5000 [1 per cell]  12 Tl 3.57
B 0.0000 0.0000 0.0000 [1 per cell]  6 Tl 2.52

Its crystal system is cubic. The value obtained for the energy relative to the lowest polymorph listed for this composition is 0.000 eV per atom.



# 7
The following is a PBE-GGA calculation of TlCdB after structural relaxation, from the Alexandria database.

abc: 3.1956 6.4236 6.5986
angles: 83.59 76.06 76.04
With the nearest neighbours (Å) after each atom.
Space group P1 (No. 1)
One atom of each set of equivalent atoms:
Tl 0.0000 0.0000 0.0000 [1 per cell]  2 B 2.96-3.00, 2 Tl 3.20
Tl 0.3335 0.8409 0.4932 [1 per cell]  2 B 3.04-3.08, 2 Tl 3.20, 2 Cd 3.35-3.36
Cd 0.1691 0.4305 0.2411 [1 per cell]  2 B 2.51-2.53
Cd 0.5500 0.2893 0.6185 [1 per cell]  2 B 2.58-2.60
B 0.0458 0.5628 0.8825 [1 per cell]  2 B 1.58-1.62
B 0.5399 0.5620 0.8828 [1 per cell]  2 B 1.58-1.62

Its crystal system is triclinic.



# 8
The following is a PBE-GGA calculation of TlCdB after structural relaxation, from the Alexandria database.

abc: 3.7771 5.7817 6.3027
angles: 89.52 83.39 71.15
With the nearest neighbours (Å) after each atom.
Space group P1 (No. 1)
One atom of each set of equivalent atoms:
Tl 0.0000 0.0000 0.0000 [1 per cell]  1 B 2.98, 2 Cd 3.25-3.29, 1 Tl 3.32
Tl 0.3681 0.4787 0.2630 [1 per cell]  2 B 2.58-2.60
Cd 0.2770 0.4473 0.7942 [1 per cell]  4 B 2.46-2.69
Cd 0.6016 0.9194 0.5467 [1 per cell]  3 B 2.31-2.50
B 0.8025 0.4967 0.5461 [1 per cell]  1 B 1.59
B 0.9434 0.2085 0.5662 [1 per cell]  1 B 1.59

Its crystal system is triclinic.



# 9
The following is a PBE-GGA calculation of TlCd3B after structural relaxation, from the Alexandria database.

abc: 4.7783 4.7783 4.7783
angles: 90.00 90.00 90.00
With the nearest neighbours (Å) after each atom.
Space group Pm-3m (No. 221)
One atom of each set of equivalent atoms:
Tl 0.0000 0.0000 0.0000 [1 per cell]  12 Cd 3.38
Cd 0.0000 0.5000 0.5000 [3 per cell]  2 B 2.39
B 0.5000 0.5000 0.5000 [1 per cell]  6 Cd 2.39

Its crystal system is cubic. The value obtained for the energy relative to the lowest polymorph listed for this composition is 0.000 eV per atom.



# 10
The following is a PBE-GGA calculation of Tl3CdB after structural relaxation, from the Alexandria database.

abc: 5.6407 5.6407 5.6407
angles: 90.00 90.00 90.00
With the nearest neighbours (Å) after each atom.
Space group Pm-3m (No. 221)
One atom of each set of equivalent atoms:
Tl 0.0000 0.0000 0.5000 [3 per cell]  2 Cd 2.82
Cd 0.0000 0.0000 0.0000 [1 per cell]  6 Tl 2.82
B 0.5000 0.5000 0.5000 [1 per cell]  12 Tl 3.99

Its crystal system is cubic. The value obtained for the energy relative to the lowest polymorph listed for this composition is 0.671 eV per atom.



# 11
The following is a PBE-GGA calculation of TlCdB after structural relaxation, from the Alexandria database.

abc: 6.1335 3.4126 12.2391
angles: 90.00 90.00 90.00
With the nearest neighbours (Å) after each atom.
Space group Pnma (No. 62)
One atom of each set of equivalent atoms:
Tl 0.0605 0.2500 0.1292 [4 per cell]  2 B 2.58
Cd 0.0655 0.2500 0.4076 [4 per cell]  2 B 2.40
B 0.1655 0.7500 0.2788 [4 per cell]  2 Cd 2.40, 2 Tl 2.58

Its crystal system is orthorhombic.



# 12
The following is a PBE-GGA calculation of TlCdB after structural relaxation, from the Alexandria database.

abc: 7.0899 4.0915 9.5717
angles: 90.00 104.01 90.00
With the nearest neighbours (Å) after each atom.
Space group Cm (No. 8)
One atom of each set of equivalent atoms:
Tl 0.0000 0.0000 0.0000 [2 per cell]  3 B 2.99-3.00, 3 Cd 3.29
Tl 0.0625 0.5000 0.6973 [2 per cell]  1 B 3.05, 3 Cd 3.15
Cd 0.1553 0.0000 0.4734 [2 per cell]  3 B 2.55
Cd 0.2477 0.5000 0.2466 [2 per cell]  6 B 2.40-2.62
B 0.3987 0.0000 0.1983 [2 per cell]  1 B 1.59
B 0.4544 0.0000 0.3693 [2 per cell]  1 B 1.59

Its crystal system is monoclinic.



# 13
The following is a PBE-GGA calculation of TlCdB after structural relaxation, from the Alexandria database.

abc: 3.7924 5.7312 6.4951
angles: 82.85 74.56 71.30
With the nearest neighbours (Å) after each atom.
Space group P1 (No. 1)
One atom of each set of equivalent atoms:
Tl 0.0000 0.0000 0.0000 [1 per cell]  2 B 2.68-2.70
Tl 0.4135 0.4875 0.7411 [1 per cell]  1 B 2.83
Cd 0.1450 0.4385 0.2939 [1 per cell]  3 B 2.30-2.48
Cd 0.7764 0.9561 0.5479 [1 per cell]  4 B 2.45-2.69
B 0.3585 0.0152 0.3041 [1 per cell]  1 B 1.58
B 0.4929 0.7253 0.3303 [1 per cell]  1 B 1.58

Its crystal system is triclinic.



# 14
The following is a PBE-GGA calculation of TlCdB after structural relaxation, from the Alexandria database.

abc: 3.9072 4.3985 9.0294
angles: 102.13 90.53 116.25
With the nearest neighbours (Å) after each atom.
Space group P-1 (No. 2)
One atom of each set of equivalent atoms:
Tl 0.1266 0.2364 0.3693 [2 per cell]  1 B 2.63
Cd 0.3853 0.7652 0.1185 [2 per cell]  3 B 2.33-2.60
B 0.0820 0.1588 0.0718 [2 per cell]  1 B 1.57

Its crystal system is triclinic.



# 15
The following is a PBE-GGA calculation of TlCdB after structural relaxation, from the Alexandria database.

abc: 4.1935 5.9113 6.7747
angles: 64.83 71.99 89.95
With the nearest neighbours (Å) after each atom.
Space group P1 (No. 1)
One atom of each set of equivalent atoms:
Tl 0.0000 0.0000 0.0000 [1 per cell]  2 B 2.67-2.98
Tl 0.4927 0.4469 0.0176 [1 per cell]  3 B 3.21-3.49, 4 Cd 3.30-3.46, 2 Tl 3.41-3.42
Cd 0.1931 0.8154 0.6115 [1 per cell]  4 B 2.39-2.43
Cd 0.7672 0.3892 0.4642 [1 per cell]  2 B 2.18-2.19
B 0.7677 0.7601 0.4622 [1 per cell]  1 B 1.55
B 0.7731 0.0271 0.4504 [1 per cell]  1 B 1.55

Its crystal system is triclinic.



# 16
The following is a PBE-GGA calculation of TlCdB2 after structural relaxation, from the Alexandria database.

abc: 6.4411 6.4411 6.4411
angles: 90.00 90.00 90.00
With the nearest neighbours (Å) after each atom.
Space group Fm-3m (No. 225)
One atom of each set of equivalent atoms:
Tl 0.0000 0.0000 0.0000 [4 per cell]  8 B 2.79
Cd 0.0000 0.0000 0.5000 [4 per cell]  8 B 2.79
B 0.2500 0.2500 0.2500 [8 per cell]  4 Cd 2.79, 4 Tl 2.79

Its crystal system is cubic. The value obtained for the energy relative to the lowest polymorph listed for this composition is 0.145 eV per atom.



# 17
The following is a PBE-GGA calculation of TlCdB after structural relaxation, from the Alexandria database.

abc: 4.3601 4.3601 7.4298
angles: 90.00 90.00 90.00
With the nearest neighbours (Å) after each atom.
Space group P-4m2 (No. 115)
One atom of each set of equivalent atoms:
Tl 0.0000 0.5000 0.1387 [2 per cell]  2 B 2.89
Cd 0.0000 0.5000 0.6785 [2 per cell]  2 B 2.25
B 0.5000 0.5000 0.3940 [2 per cell]  1 B 1.57

Its crystal system is tetragonal.



# 18
The following is a PBE-GGA calculation of TlCd2B2 after structural relaxation, from the Alexandria database.

abc: 6.7455 6.7455 3.8944
angles: 90.00 90.00 90.00
With the nearest neighbours (Å) after each atom.
Space group P4/mbm (No. 127)
One atom of each set of equivalent atoms:
Tl 0.0000 0.0000 0.0000 [2 per cell]  4 B 2.86, 8 Cd 3.16
Cd 0.1735 0.3265 0.5000 [4 per cell]  4 B 2.68
B 0.0839 0.5839 0.0000 [4 per cell]  1 B 1.60

Its crystal system is tetragonal. The value obtained for the energy relative to the lowest polymorph listed for this composition is 0.083 eV per atom.



# 19
The following is a PBE-GGA calculation of TlCdB after structural relaxation, from the Alexandria database.

abc: 4.3726 4.4725 7.2274
angles: 82.73 72.58 89.68
With the nearest neighbours (Å) after each atom.
Space group P1 (No. 1)
One atom of each set of equivalent atoms:
Tl 0.0000 0.0000 0.0000 [1 per cell]  1 B 2.39
Tl 0.4174 0.4342 0.1629 [1 per cell]  2 B 2.60-2.62
Cd 0.1630 0.5189 0.6663 [1 per cell]  2 B 2.40-2.41
Cd 0.6859 0.0117 0.6205 [1 per cell]  2 B 2.31-2.37
B 0.7342 0.5253 0.5208 [1 per cell]  1 B 1.59
B 0.8479 0.6544 0.2954 [1 per cell]  1 B 1.59

Its crystal system is triclinic.



# 20
The following is a PBE-GGA calculation of TlCdB after structural relaxation, from the Alexandria database.

abc: 6.7762 5.5338 7.4526
angles: 90.00 103.80 90.00
With the nearest neighbours (Å) after each atom.
Space group Cm (No. 8)
One atom of each set of equivalent atoms:
Tl 0.0000 0.0000 0.0000 [2 per cell]  2 B 2.89
Tl 0.0272 0.5000 0.2775 [2 per cell]  2 B 2.90
Cd 0.0651 0.0000 0.5243 [2 per cell]  4 B 2.43-2.51
Cd 0.4663 0.0000 0.7543 [2 per cell]  4 B 2.44-2.51
B 0.2653 0.3570 0.6383 [4 per cell]  1 B 1.58

Its crystal system is monoclinic.



| no. | VASP energy (eV per formula unit) | calculated formation energy (eV per atom) |
| --- | --- | --- |
| 1 | -9.05 | 0.302 |
| 2 | -8.90 | 0.353 |
| 3 | -9.03 | 0.310 |
| 4 | -8.20 | 0.587 |
| 5 | -7.32 | 0.878 |
| 6 | -11.65 | 0.608 |
| 7 | -9.11 | 0.284 |
| 8 | -8.26 | 0.567 |
| 9 | -9.56 | 0.446 |
| 10 | -8.29 | 1.279 |
| 11 | -6.78 | 1.061 |
| 12 | -8.28 | 0.559 |
| 13 | -8.25 | 0.568 |
| 14 | -8.31 | 0.550 |
| 15 | -8.42 | 0.514 |
| 16 | -10.04 | 1.649 |
| 17 | -8.30 | 0.554 |
| 18 | -13.19 | 0.872 |
| 19 | -8.22 | 0.580 |
| 20 | -8.32 | 0.546 |